# 1
# YCuH8Rh4

Crystalline YCuH8Rh4 at its relaxed geometry (GGA-PBE, Alexandria).

a b c (Å): 5.724 5.724 5.516
angles (deg): 58.74 58.74 60.00
Fractional positions:
Y 0.391 0.391 0.828
Cu 0.995 0.995 0.015
H 0.220 0.854 0.706
H 0.854 0.220 0.706
H 0.220 0.220 0.706
H 0.226 0.226 0.321
H 0.716 0.256 0.313
H 0.256 0.716 0.313
H 0.716 0.716 0.313
H 0.767 0.767 0.699
Rh 0.634 0.634 0.099
Rh 0.001 0.504 0.494
Rh 0.504 0.001 0.494
Rh 0.001 0.001 0.494

Results
* raw total energy: -4.96 eV/atom
* crystal system: trigonal


# 2
# YCuHRh2

Crystalline YCuHRh2 at its relaxed geometry (GGA-PBE, Alexandria).

a b c (Å): 4.140 4.140 3.926
angles (deg): 90.00 90.00 90.00
Fractional positions:
Y 0.500 0.500 0.500
H 0.000 0.000 0.000
Rh 0.000 0.500 0.000
Rh 0.500 0.000 0.000
Cu 0.000 0.000 0.500

Results
* relative energy among the computed polymorphs: 0.0000 eV per atom
* crystal system: tetragonal